1.
CdCuHg2: single point on PBEsol structure, meta-GGA SCAN.

energy relative to the elements: 177 meV/atom

Structure (POSCAR):
```
CdCuHg2
1.0
4.359 0.000 0.000
0.000 4.359 0.000
-2.180 -2.180 3.923
Cd Cu Hg
1 1 2
direct
0.500 0.500 0.000
0.000 0.000 0.000
0.750 0.250 0.500
0.250 0.750 0.500
```


2.
MnCdCu2Hg: single point on PBEsol structure, meta-GGA SCAN.

energy relative to the elements: 774 meV/atom

Structure (POSCAR):
```
MnCdCu2Hg
1.0
-3.519 0.381 -3.199
-3.155 -1.366 3.308
-0.676 4.726 1.307
Mn Hg Cu Cd
1 1 2 1
direct
0.000 0.000 0.500
0.000 0.000 0.000
0.000 0.500 0.000
0.500 0.000 0.000
0.500 0.500 0.500
```


3.
YCd2CuHg: single point on PBEsol structure, meta-GGA SCAN.

energy relative to the elements: 527 meV/atom

Structure (POSCAR):
```
YCd2CuHg
1.0
-2.652 -4.002 -1.833
1.959 -2.990 3.692
-4.322 1.324 3.365
Y Hg Cu Cd
1 1 1 2
direct
0.000 0.000 0.500
0.000 0.000 0.000
0.500 0.500 0.500
0.000 0.500 0.000
0.500 0.000 0.000
```


4.
HoCdCu4: single point on PBEsol structure, meta-GGA SCAN.

energy relative to the elements: -285 meV/atom

Structure (POSCAR):
```
HoCdCu4
1.0
5.000 0.024 0.017
2.480 4.342 0.017
2.480 1.448 4.093
Ho Cu Cd
1 4 1
direct
0.250 0.250 0.250
0.626 0.122 0.626
0.626 0.626 0.626
0.122 0.626 0.626
0.626 0.626 0.122
0.000 0.000 0.000
```


5.
CdCuI2O: single point on PBEsol structure, meta-GGA SCAN.

raw formation energy: 30.1 kJ per mole of atoms

Structure (POSCAR):
```
CdCuI2O
1.0
-0.779 1.965 3.391
-5.513 -1.649 -0.311
1.246 -4.739 3.033
I O Cu Cd
2 1 1 1
direct
0.000 0.000 0.500
0.000 0.500 0.000
0.500 0.000 0.000
0.500 0.500 0.500
0.000 0.000 0.000
```


6.
Zr2CdCuI: single point on PBEsol structure, meta-GGA SCAN.

raw formation energy: 87.1 kJ per mole of atoms

Structure (POSCAR):
```
Zr2CdCuI
1.0
4.661 0.000 0.000
0.000 5.225 0.000
0.000 0.000 5.225
I Cu Zr Cd
1 1 2 1
direct
0.000 0.000 0.000
0.500 0.000 0.000
0.000 0.000 0.500
0.000 0.500 0.000
0.500 0.500 0.500
```


7.
Cd2InCu: single point on PBEsol structure, meta-GGA SCAN.

energy relative to the elements: 90 meV/atom

Structure (POSCAR):
```
Cd2InCu
1.0
3.024 0.000 0.000
0.000 3.024 0.000
0.000 0.000 8.481
Cd Cu In
2 1 1
direct
0.000 0.000 0.798
0.000 0.000 0.202
0.500 0.500 0.000
0.500 0.500 0.500
```


8.
Cd2InCu2: single point on PBEsol structure, meta-GGA SCAN.

E above lowest polymorph: 0.000 eV per atom
energy relative to the elements: 118 meV/atom

Structure (POSCAR):
```
Cd2InCu2
1.0
-2.118 0.742 1.943
-4.782 -4.969 -3.315
2.423 -5.495 4.742
Cd Cu In
4 4 2
direct
0.500 0.177 0.677
0.500 0.677 0.823
0.500 0.823 0.323
0.500 0.323 0.177
0.000 0.384 0.884
0.000 0.884 0.616
0.000 0.616 0.116
0.000 0.116 0.384
0.000 0.000 0.000
0.000 0.500 0.500
```


9.
Cd2InCu: single point on PBEsol structure, meta-GGA SCAN.

energy relative to the elements: 99 meV/atom

Structure (POSCAR):
```
Cd2InCu
1.0
3.023 0.000 0.000
0.000 3.023 0.000
0.000 0.000 8.344
Cd Cu In
2 1 1
direct
0.000 0.000 0.009
0.500 0.500 0.286
0.000 0.000 0.495
0.500 0.500 0.710
```


10.
Cd2InCu2: single point on PBEsol structure, meta-GGA SCAN.

E above lowest polymorph: 0.114 eV per atom
energy relative to the elements: 231 meV/atom

Structure (POSCAR):
```
Cd2InCu2
1.0
3.903 0.000 0.000
0.000 3.903 0.000
-1.952 -1.952 6.148
Cd Cu In
2 2 1
direct
0.250 0.750 0.500
0.750 0.250 0.500
0.405 0.405 0.810
0.595 0.595 0.190
0.000 0.000 0.000
```


11.
CdInCu2: single point on PBEsol structure, meta-GGA SCAN.

energy relative to the elements: 75 meV/atom

Structure (POSCAR):
```
CdInCu2
1.0
-1.688 2.447 0.242
-1.025 -0.280 -4.324
-3.789 -2.705 1.073
In Cu Cd
1 2 1
direct
0.374 0.000 0.427
0.876 0.000 0.953
0.874 0.500 0.297
0.376 0.500 0.823
```


12.
CdInCu2: single point on PBEsol structure, meta-GGA SCAN.

energy relative to the elements: 93 meV/atom

Structure (POSCAR):
```
CdInCu2
1.0
3.195 0.000 0.000
0.000 3.195 0.000
0.000 0.000 6.175
Cd Cu In
1 2 1
direct
0.500 0.500 0.500
0.000 0.000 0.745
0.000 0.000 0.255
0.500 0.500 0.000
```


13.
CdInCu2: single point on PBEsol structure, meta-GGA SCAN.

energy relative to the elements: 83 meV/atom

Structure (POSCAR):
```
CdInCu2
1.0
3.172 0.000 0.000
0.000 4.457 0.041
0.000 -0.036 4.457
Cd Cu In
1 2 1
direct
0.500 0.500 0.500
0.000 0.500 0.000
0.000 0.000 0.500
0.500 0.000 0.000
```


14.
Cd2InCu: single point on PBEsol structure, meta-GGA SCAN.

energy relative to the elements: 151 meV/atom

Structure (POSCAR):
```
Cd2InCu
1.0
3.684 0.000 0.000
0.000 4.716 0.042
0.000 -1.478 4.479
Cd Cu In
2 1 1
direct
0.000 0.500 0.000
0.000 0.000 0.500
0.500 0.000 0.000
0.500 0.500 0.500
```


15.
Cd2InCu: single point on PBEsol structure, meta-GGA SCAN.

energy relative to the elements: 26 meV/atom

Structure (POSCAR):
```
Cd2InCu
1.0
-0.123 -2.259 -1.764
2.647 -2.336 2.806
-6.189 0.248 2.446
Cd Cu In
2 1 1
direct
0.696 0.696 0.392
0.304 0.304 0.608
0.000 0.500 0.000
0.500 0.000 0.000
```


16.
CdInCu2: single point on PBEsol structure, meta-GGA SCAN.

energy relative to the elements: 91 meV/atom

Structure (POSCAR):
```
CdInCu2
1.0
2.981 0.000 0.000
0.000 4.536 -0.033
-1.491 -1.667 4.740
In Cu Cd
1 2 1
direct
0.518 0.550 0.036
0.976 0.022 0.952
0.274 0.729 0.547
0.732 0.199 0.464
```


17.
Cd2InCu: single point on PBEsol structure, meta-GGA SCAN.

energy relative to the elements: 35 meV/atom

Structure (POSCAR):
```
Cd2InCu
1.0
-0.008 2.470 -1.430
-3.515 1.409 2.453
5.687 0.514 3.704
Cd Cu In
2 1 1
direct
0.005 0.005 0.010
0.185 0.685 0.371
0.498 0.498 0.996
0.812 0.312 0.623
```


18.
CdInCu2: single point on PBEsol structure, meta-GGA SCAN.

energy relative to the elements: 90 meV/atom

Structure (POSCAR):
```
CdInCu2
1.0
-2.802 1.192 0.785
-1.423 -2.194 -1.746
-0.238 -3.982 5.198
In Cu Cd
1 2 1
direct
0.000 0.000 0.460
0.000 0.000 0.038
0.500 0.500 0.209
0.500 0.500 0.794
```


19.
Cd2CuIr: single point on PBEsol structure, meta-GGA SCAN.

energy relative to the elements: 183 meV/atom

Structure (POSCAR):
```
Cd2CuIr
1.0
-0.267 -2.715 1.237
1.337 1.002 2.487
-6.263 1.816 2.635
Cd Cu Ir
2 1 1
direct
0.000 0.000 0.757
0.000 0.000 0.243
0.500 0.500 0.000
0.500 0.500 0.500
```


20.
Cd2CuIr: single point on PBEsol structure, meta-GGA SCAN.

energy relative to the elements: 206 meV/atom

Structure (POSCAR):
```
Cd2CuIr
1.0
4.475 0.000 0.000
2.237 3.875 0.000
2.237 1.292 3.654
Cd Cu Ir
2 1 1
direct
0.000 0.000 0.000
0.750 0.750 0.750
0.500 0.500 0.500
0.250 0.250 0.250
```


Number 1: magnetic moment 0.0 μB per cell, mass density 12.9 g/cm³. Number 2: magnetic moment 4.5 μB per cell, mass density 7.3 g/cm³. Number 3: magnetic moment 0.0 μB per cell, mass density 6.4 g/cm³. Number 4: magnetic moment 0.0 μB per cell, mass density 10.0 g/cm³. Number 5: magnetic moment 0.8 μB per cell, mass density 5.6 g/cm³. Number 6: magnetic moment 0.0 μB per cell, mass density 6.3 g/cm³. Number 7: magnetic moment 0.0 μB per cell, mass density 8.6 g/cm³. Number 8: magnetic moment 0.0 μB per cell, mass density 8.9 g/cm³. Number 9: magnetic moment 0.0 μB per cell, mass density 8.8 g/cm³. Number 10: magnetic moment 0.0 μB per cell, mass density 8.3 g/cm³. Number 11: magnetic moment 0.0 μB per cell, mass density 9.3 g/cm³. Number 12: magnetic moment 0.0 μB per cell, mass density 9.3 g/cm³. Number 13: magnetic moment 0.0 μB per cell, mass density 9.3 g/cm³. Number 14: magnetic moment 0.0 μB per cell, mass density 8.6 g/cm³. Number 15: magnetic moment 0.0 μB per cell, mass density 8.5 g/cm³. Number 16: magnetic moment 0.0 μB per cell, mass density 9.2 g/cm³. Number 17: magnetic moment 0.0 μB per cell, mass density 8.3 g/cm³. Number 18: magnetic moment 0.0 μB per cell, mass density 9.1 g/cm³. Number 19: magnetic moment 0.0 μB per cell, mass density 12.6 g/cm³. Number 20: magnetic moment 0.0 μB per cell, mass density 12.6 g/cm³.